Computed, not measured: crystalline NiWBr4 at its relaxed geometry at the PBE level of DFT.

Unit cell a=6.1023 b=6.1023 c=6.1023 alpha=60.00 beta=60.00 gamma=60.00
Element x y z (fractional)
Ni 0.0000 0.0000 0.0000
W 0.7500 0.7500 0.7500
Br 0.3753 0.3753 0.3753
Br 0.3753 0.3753 0.8741
Br 0.3753 0.8741 0.3753
Br 0.8741 0.3753 0.3753

Calculated values
Fermi-level density of states	13.894	states/eV per cell
formation energy from raw total energies	42.9	kcal/mol of atoms
total magnetic moment	5.3	Bohr magnetons per cell